# PrDy2Er

Crystalline PrDy2Er at its relaxed geometry (GGA-PBE, Alexandria).

a b c (Å): 5.072 5.074 6.173
angles (deg): 114.27 114.26 90.00
Element x y z (fractional)
Dy1 0.000 0.000 0.000
Er1 0.500 0.500 0.000
Pr1 0.250 0.750 0.500
Dy2 0.750 0.250 0.500

symmetry	I-4m2, No. 119
E_tot	-4.614	eV per atom
calculated volume	32.3	Å³/atom
magnetization	0.0	Bohr magnetons per cell
D(E_F)	5.7	states/eV per cell
crystal system	tetragonal
offset from the most stable computed form	4	meV/atom